Computed, not measured: a relaxed structure of CsCoRh2 at the PBE level of DFT.

CIF file:
```
data_CsCoRh2
_chemical_formula_sum 'Cs1 Co1 Rh2'
_cell_length_a 4.707
_cell_length_b 4.707
_cell_length_c 4.707
_cell_angle_alpha 60.00
_cell_angle_beta 60.00
_cell_angle_gamma 60.00
_space_group_name_H-M_alt 'P 1'
_space_group_IT_number 1
loop_
_space_group_symop_operation_xyz
'x,y,z'
loop_
_atom_site_label
_atom_site_type_symbol
_atom_site_fract_x
_atom_site_fract_y
_atom_site_fract_z
_atom_site_occupancy
Cs1 Cs 0.000 0.000 0.000 1
Co1 Co 0.500 0.500 0.500 1
Rh1 Rh 0.250 0.250 0.250 1
Rh2 Rh 0.750 0.750 0.750 1
```

## Properties
The symmetry is Fm-3m, No. 225. The calculation puts the formation enthalpy at 0 K at 1273 meV per atom. Its calculated total energy is -17.57 eV for the cell shown. Its calculated volume is 73.74 Å³ per cell.